VASP calculation (PBE) on Ru4Rh5 after structural relaxation.

```
Ru4Rh5
1.0
2.725 0.000 0.000
1.362 6.932 0.000
1.362 0.000 6.932
Rh Ru
5 4
direct
0.665 0.669 0.000 Rh
0.000 0.000 0.000 Rh
0.335 0.331 0.000 Rh
0.665 0.000 0.669 Rh
0.335 0.000 0.331 Rh
0.000 0.338 0.662 Ru
0.662 0.338 0.338 Ru
0.338 0.662 0.662 Ru
0.000 0.662 0.338 Ru
```

Values from the calculation:
Magnetic moment: 0.396 μB/atom
Energy of formation from the pure elements: 3.23 eV/f.u.
Symmetry: I4/mmm, No. 139